Material: RbReTe2As
Method: DFT, PBE-GGA
State: optimized geometry

Cell and atoms, written as POSCAR:
```
RbReTe2As
1.0
-3.334 4.448 0.836
-3.183 -1.813 -3.045
-2.525 -2.690 4.241
Re As Te Rb
1 1 2 1
Direct
0.000 0.000 0.000
0.000 0.500 0.000
0.000 0.000 0.500
0.500 0.000 0.000
0.500 0.500 0.500
```

Computed properties:
SG: P4/mmm, No. 123
crystal system: tetragonal
formation energy from raw total energies: 0.17 eV/atom
DFT total energy: -0.345 Ry per atom
D(E_F): 1.144 states/eV/atom